[1]
NiPbSe2 | PBE | relaxed

a b c (Å): 3.6591 6.9258 7.7649
angles (deg): 90.00 90.00 90.00
With the nearest neighbours (Å) after each atom.
Space group Cmmm (No. 65)
Unique sites:
1 Ni 0.0000 0.0000 0.0000 [2 per cell]  4 Se 2.35
2 Pb 0.0000 0.0000 0.5000 [2 per cell]  4 Se 3.02
3 Se 0.0000 0.5000 0.1904 [4 per cell]  2 Ni 2.35

Calculated values
E_tot ... -0.1516 Ha/atom
Formation energy without anion corrections ... -0.01 eV/atom
N(E_F) ... 8.604 states/eV per cell
Crystal system ... orthorhombic

=====

[2]
Ni2PbSe | PBE | relaxed

a b c (Å): 3.4236 3.4288 12.2288
angles (deg): 90.00 90.00 90.00
With the nearest neighbours (Å) after each atom.
Space group Imm2 (No. 44)
Unique sites:
1 Ni 0.0000 0.0000 0.0000 [2 per cell]  4 Se 2.44, 2 Ni 2.63
2 Ni 0.0000 0.5000 0.3368 [2 per cell]  2 Se 2.40, 2 Ni 2.63
3 Pb 0.0000 0.5000 0.7149 [2 per cell]  6 Ni 2.84-3.14
4 Se 0.0000 0.0000 0.4737 [2 per cell]  6 Ni 2.40-2.44

Calculated values
E_tot ... -0.1710 Ha/atom
Formation energy without anion corrections ... 0.04 eV/atom
N(E_F) ... 4.891 states/eV per cell
Crystal system ... orthorhombic

=====

[3]
UNiPbSe3 | PBE | relaxed

a b c (Å): 8.5127 4.0426 9.3358
angles (deg): 90.00 103.79 90.00
With the nearest neighbours (Å) after each atom.
Space group P2_1/m (No. 11)
Unique sites:
1 U 0.1680 0.2500 0.1588 [2 per cell]  6 Se 2.76-2.88
2 Ni 0.4307 0.7500 0.3975 [2 per cell]  4 Se 2.44-2.52
3 Pb 0.3479 0.7500 0.7082 [2 per cell]  4 Se 3.01-3.10, 3 Ni 3.08-3.14
4 Se 0.0695 0.2500 0.8413 [2 per cell]  3 U 2.86-2.88
5 Se 0.2852 0.2500 0.4616 [2 per cell]  3 Ni 2.46-2.52
6 Se 0.3936 0.7500 0.1307 [2 per cell]  1 Ni 2.44

Calculated values
E_tot ... -0.2168 Ha/atom
Formation energy without anion corrections ... -0.70 eV/atom
N(E_F) ... 12.673 states/eV per cell
Crystal system ... monoclinic

=====

[4]
UNiPbSe4 | PBE | relaxed

a b c (Å): 6.8138 5.8653 8.6616
angles (deg): 90.00 106.25 90.00
With the nearest neighbours (Å) after each atom.
Space group P2_1/m (No. 11)
Unique sites:
1 U 0.2400 0.2500 0.4451 [2 per cell]  8 Se 2.84-3.15
2 Ni 0.2524 0.7500 0.6523 [2 per cell]  4 Se 2.28-2.42
3 Pb 0.2236 0.2500 0.9533 [2 per cell]  6 Se 2.94-3.23
4 Se 0.0656 0.7500 0.3891 [2 per cell]  1 Ni 2.28
5 Se 0.0728 0.7500 0.8571 [2 per cell]  1 Ni 2.42
6 Se 0.4823 0.5080 0.2757 [4 per cell]  1 Ni 2.31

Calculated values
E_tot ... -0.2072 Ha/atom
Formation energy without anion corrections ... -0.68 eV/atom
N(E_F) ... 12.861 states/eV per cell
Crystal system ... monoclinic